No. 1
HoMgSn2: relaxed, PBE-GGA.

Properties
The formation enthalpy at 0 K is -0.306 eV per atom. The value obtained for the total energy is -15.40 eV for the cell shown.

Geometry as CIF:
```
data_HoMgSn2
_symmetry_space_group_name_H-M 'P 1'
_symmetry_Int_Tables_number 1
_symmetry_space_group_name_Hall 'P 1'
_cell_length_a 5.252
_cell_length_b 5.252
_cell_length_c 5.252
_cell_angle_alpha 60.00
_cell_angle_beta 60.00
_cell_angle_gamma 60.00
loop_
_atom_site_label
_atom_site_fract_x
_atom_site_fract_y
_atom_site_fract_z
_atom_site_occupancy
Sn1 0.750 0.750 0.750 1
Mg1 0.500 0.500 0.500 1
Ho1 0.000 0.000 0.000 1
Sn2 0.250 0.250 0.250 1
```

---

No. 2
KLa4Si: relaxed, PBE-GGA.

Properties
The value obtained for the total energy is -23.34 eV for the cell shown. The formation energy from raw total energies comes out at 0.481 eV/atom.

Geometry as CIF:
```
data_KLa4Si
_symmetry_space_group_name_H-M 'P 1'
_symmetry_Int_Tables_number 1
_symmetry_space_group_name_Hall 'P 1'
_cell_length_a 6.648
_cell_length_b 6.648
_cell_length_c 6.648
_cell_angle_alpha 60.00
_cell_angle_beta 60.00
_cell_angle_gamma 60.00
loop_
_atom_site_label
_atom_site_fract_x
_atom_site_fract_y
_atom_site_fract_z
_atom_site_occupancy
La1 0.380 0.859 0.380 1
Si1 0.750 0.750 0.750 1
K1 0.000 0.000 0.000 1
La2 0.380 0.380 0.859 1
La3 0.380 0.380 0.380 1
La4 0.859 0.380 0.380 1
```

---

No. 3
Er4Sb2AsSe: relaxed, PBE-GGA.

Properties
The value obtained for the total energy is -45.58 eV for the cell shown. The formation energy from raw total energies comes out at -1.369 eV/atom.

Geometry as CIF:
```
data_Er4Sb2AsSe
_symmetry_space_group_name_H-M 'P 1'
_symmetry_Int_Tables_number 1
_symmetry_space_group_name_Hall 'P 1'
_cell_length_a 4.203
_cell_length_b 7.277
_cell_length_c 7.304
_cell_angle_alpha 109.31
_cell_angle_beta 90.00
_cell_angle_gamma 90.00
loop_
_atom_site_label
_atom_site_fract_x
_atom_site_fract_y
_atom_site_fract_z
_atom_site_occupancy
As1 0.000 0.000 0.000 1
Er1 0.000 0.249 0.762 1
Er2 0.500 0.240 0.235 1
Er3 0.000 0.751 0.238 1
Sb1 0.500 0.000 0.500 1
Er4 0.500 0.760 0.765 1
Sb2 0.000 0.500 0.500 1
Se1 0.500 0.500 0.000 1
```

---

No. 4
CrOsRh2: relaxed, PBE-GGA.

Properties
The formation enthalpy at 0 K is 0.510 eV per atom. The value obtained for the total energy is -33.52 eV for the cell shown.

Geometry as CIF:
```
data_CrOsRh2
_symmetry_space_group_name_H-M 'P 1'
_symmetry_Int_Tables_number 1
_symmetry_space_group_name_Hall 'P 1'
_cell_length_a 4.300
_cell_length_b 4.300
_cell_length_c 4.300
_cell_angle_alpha 60.00
_cell_angle_beta 60.00
_cell_angle_gamma 60.00
loop_
_atom_site_label
_atom_site_fract_x
_atom_site_fract_y
_atom_site_fract_z
_atom_site_occupancy
Os1 0.500 0.500 0.500 1
Cr1 0.000 0.000 0.000 1
Rh1 0.250 0.250 0.250 1
Rh2 0.750 0.750 0.750 1
```

---

What did the first record say?
HoMgSn2: relaxed, PBE-GGA.

Properties
The formation enthalpy at 0 K is -0.306 eV per atom. The value obtained for the total energy is -15.40 eV for the cell shown.

Geometry as CIF:
```
data_HoMgSn2
_symmetry_space_group_name_H-M 'P 1'
_symmetry_Int_Tables_number 1
_symmetry_space_group_name_Hall 'P 1'
_cell_length_a 5.252
_cell_length_b 5.252
_cell_length_c 5.252
_cell_angle_alpha 60.00
_cell_angle_beta 60.00
_cell_angle_gamma 60.00
loop_
_atom_site_label
_atom_site_fract_x
_atom_site_fract_y
_atom_site_fract_z
_atom_site_occupancy
Sn1 0.750 0.750 0.750 1
Mg1 0.500 0.500 0.500 1
Ho1 0.000 0.000 0.000 1
Sn2 0.250 0.250 0.250 1
```